DFT (PBE) results for CuAgPd2 after structural relaxation.

Properties
Uncorrected energy, eV/atom: -4.34
ΔE to the lowest computed polymorph, meV per atom: 54
Size of the total moment, μB per formula unit: 0.0

CIF file:
```
data_CuAgPd2
_symmetry_space_group_name_H-M 'P 4/m m m'
_symmetry_Int_Tables_number 123
_symmetry_space_group_name_Hall '-P 4 2'
_cell_length_a 3.9603
_cell_length_b 3.9603
_cell_length_c 3.8995
_cell_angle_alpha 90.00
_cell_angle_beta 90.00
_cell_angle_gamma 90.00
loop_
_atom_site_label
_atom_site_type_symbol
_atom_site_fract_x
_atom_site_fract_y
_atom_site_fract_z
_atom_site_occupancy
Cu1 Cu 0.0000 0.0000 0.0000 1
Ag1 Ag 0.5000 0.5000 0.0000 1
Pd1 Pd 0.0000 0.5000 0.5000 1
```